Crystalline Mn3InPd6 at its relaxed geometry. Source: Alexandria via LeMat-Bulk, functional GGA-PBE.

It has space group P2_1/m (No. 11), with a = 8.3513 Å, b = 4.1570 Å, c = 9.1102 Å, α = 90.00°, β = 96.16° and γ = 90.00°. Symmetry generates all atoms from Mn at (0.0526, 0.2500, 0.3964), Mn at (0.1541, 0.7500, 0.1887), Mn at (0.2520, 0.2500, 0.9783), In at (0.4387, 0.2500, 0.6143), Pd at (0.0352, 0.7500, 0.8981), Pd at (0.1239, 0.2500, 0.6902), Pd at (0.2374, 0.7500, 0.4876), Pd at (0.3388, 0.2500, 0.2874), Pd at (0.3394, 0.7500, 0.8000) and Pd at (0.4404, 0.7500, 0.0932).

Its energy of formation from the pure elements is -0.30 eV/atom. For the volume, the calculation gives 15.72 Å³/atom. Its electronic total energy is -6.437 eV/atom.